[1]
This record from Alexandria describes a relaxed structure of Tb4Sm2Er7. The functional is PBE.

The total energy comes out at -4.431 eV per atom. For the formation energy from the elements, the calculation gives 0.18 eV/atom. The total magnetic moment is 0.0000 μB per atom. Its space-group type is P-31m.

Lattice parameters (Å, degrees): 6.0302 6.0302 13.3427 90.00 90.00 120.00
Element x y z (fractional)
Er 0.0000 0.3501 0.2141
Tb 0.0000 0.0000 0.6055
Sm 0.3333 0.6667 0.0000
Er 0.0000 0.6499 0.7859
Tb 0.3333 0.6667 0.5000
Er 0.0000 0.0000 0.0000
Er 0.3501 0.0000 0.2142
Er 0.6499 0.0000 0.7859
Tb 0.0000 0.0000 0.3945
Er 0.3501 0.3501 0.7859
Sm 0.6667 0.3333 0.0000
Er 0.6499 0.6499 0.2141
Tb 0.6667 0.3333 0.5000



[2]
This record from Alexandria describes a relaxed structure of Tb3Sm2Er. The functional is PBE.

The total energy comes out at -4.585 eV per atom. The energy above the lowest structure with this stoichiometry comes out at 0.0000 eV per atom. For the formation energy from the elements, the calculation gives 0.06 eV/atom. The total magnetic moment is 0.0002 μB per atom. Its space-group type is C2/m.

Lattice parameters (Å, degrees): 5.6509 8.9890 9.7351 122.72 90.00 108.32
Element x y z (fractional)
Tb 0.0013 0.0026 0.6693
Tb 0.6244 0.2489 0.6193
Er 0.1250 0.2501 0.1302
Tb 0.7494 0.4987 0.4099
Sm 0.4985 0.9971 0.1638
Er 0.8750 0.7499 0.8698
Sm 0.2508 0.5017 0.9260
Tb 0.2506 0.5013 0.5901
Sm 0.5015 0.0029 0.8362
Tb 0.3756 0.7511 0.3807
Tb 0.9987 0.9974 0.3307
Sm 0.7492 0.4983 0.0740



[3]
This record from Alexandria describes a relaxed structure of TbSm4Er2. The functional is PBE.

The total energy comes out at -4.532 eV per atom. The energy above the lowest structure with this stoichiometry comes out at 0.0749 eV per atom. For the formation energy from the elements, the calculation gives 0.13 eV/atom. The total magnetic moment is 0.0000 μB per atom. Its space-group type is P2_1/m.

Lattice parameters (Å, degrees): 6.2015 6.5838 11.5852 90.00 105.16 90.00
Element x y z (fractional)
Sm 0.0347 0.7500 0.8620
Sm 0.1482 0.7500 0.4489
Er 0.3926 0.2500 0.0034
Er 0.7098 0.7500 0.5742
Sm 0.6493 0.9931 0.2859
Sm 0.3507 0.0069 0.7141
Sm 0.9653 0.2500 0.1380
Tb 0.8448 0.2500 0.8374
Sm 0.6493 0.5069 0.2859
Er 0.2902 0.2500 0.4258
Tb 0.1552 0.7500 0.1626
Sm 0.8518 0.2500 0.5511
Er 0.6074 0.7500 0.9966
Sm 0.3507 0.4931 0.7141



[4]
This record from Alexandria describes a relaxed structure of TbSmEr4. The functional is PBE.

The total energy comes out at -3.851 eV per atom. The energy above the lowest structure with this stoichiometry comes out at 0.5480 eV per atom. For the formation energy from the elements, the calculation gives 0.75 eV/atom. The total magnetic moment is 0.0000 μB per atom. Its space-group type is P4/mmm.

Lattice parameters (Å, degrees): 5.3967 5.3963 7.7083 90.00 90.00 90.00
Element x y z (fractional)
Er 0.0012 0.4973 0.7510
Sm 0.0013 0.9973 0.4981
Er 0.5013 0.9972 0.7510
Er 0.5013 0.9973 0.2453
Tb 0.5013 0.4972 0.9981
Er 0.0013 0.4974 0.2453



[5]
This record from Alexandria describes a relaxed structure of TbSm8Er4. The functional is PBE.

The total energy comes out at -4.466 eV per atom. For the formation energy from the elements, the calculation gives 0.20 eV/atom. The total magnetic moment is 0.0000 μB per atom. Its space-group type is R-3m.

Lattice parameters (Å, degrees): 7.2680 7.2680 10.2941 90.00 110.67 120.00
Element x y z (fractional)
Sm 0.4283 0.2142 0.6425
Sm 0.5717 0.7858 0.3575
Sm 0.5025 0.7512 0.7054
Sm 0.4975 0.2488 0.2946
Er 0.0000 0.5000 0.0000
Sm 0.0458 0.7970 0.2946
Er 0.0000 0.0000 0.0000
Er 0.5000 0.0000 0.0000
Sm 0.9542 0.2030 0.7054
Er 0.5000 0.5000 0.0000
Sm 0.0458 0.2488 0.2946
Sm 0.9542 0.7512 0.7054
Tb 0.0000 0.5000 0.5000



[6]
This record from Alexandria describes a relaxed structure of TbSm12Er7. The functional is PBE.

The total energy comes out at -4.402 eV per atom. The energy above the lowest structure with this stoichiometry comes out at 0.0956 eV per atom. For the formation energy from the elements, the calculation gives 0.26 eV/atom. The total magnetic moment is 0.0000 μB per atom. Its space-group type is R-3m.

Lattice parameters (Å, degrees): 11.4689 11.4689 11.4689 116.89 116.89 116.89
Element x y z (fractional)
Sm 0.5850 0.9389 0.5855
Er 0.3702 0.1263 0.1258
Sm 0.4145 0.4150 0.0611
Er 0.8737 0.8742 0.6298
Sm 0.5006 0.0870 0.9137
Sm 0.0863 0.4994 0.9130
Sm 0.5855 0.5850 0.9389
Sm 0.4994 0.9130 0.0863
Sm 0.9130 0.0863 0.4994
Er 0.8742 0.6298 0.8737
Er 0.5000 0.5000 0.5000
Sm 0.9137 0.5006 0.0870
Sm 0.4150 0.0611 0.4145
Sm 0.0870 0.9137 0.5006
Er 0.6298 0.8737 0.8742
Tb 0.0000 0.0000 0.0000
Sm 0.9389 0.5855 0.5850
Er 0.1258 0.3702 0.1263
Er 0.1263 0.1258 0.3702
Sm 0.0611 0.4145 0.4150



[7]
This record from Alexandria describes a relaxed structure of Tb9SmEr2. The functional is PBE.

The total energy comes out at -4.607 eV per atom. The energy above the lowest structure with this stoichiometry comes out at 0.0000 eV per atom. For the formation energy from the elements, the calculation gives 0.02 eV/atom. The total magnetic moment is 0.0000 μB per atom. Its space-group type is P4/mmm.

Lattice parameters (Å, degrees): 5.0290 5.0290 15.0905 90.00 90.00 90.00
Element x y z (fractional)
Tb 0.5000 0.5000 0.6655
Tb 0.5000 0.5000 0.3345
Er 0.0000 0.0000 0.3342
Tb 0.5000 0.0000 0.8317
Tb 0.0000 0.5000 0.5000
Tb 0.5000 0.0000 0.5000
Tb 0.0000 0.5000 0.8317
Sm 0.0000 0.0000 0.0000
Tb 0.0000 0.5000 0.1683
Er 0.0000 0.0000 0.6658
Tb 0.5000 0.0000 0.1683
Tb 0.5000 0.5000 0.0000



[8]
This record from Alexandria describes a relaxed structure of Tb8Sm2Er. The functional is PBE.

The total energy comes out at -4.624 eV per atom. The energy above the lowest structure with this stoichiometry comes out at 0.0000 eV per atom. For the formation energy from the elements, the calculation gives 0.02 eV/atom. The total magnetic moment is 0.0000 μB per atom. Its space-group type is C2/m.

Lattice parameters (Å, degrees): 5.0396 7.9854 9.4347 104.74 105.49 90.00
Element x y z (fractional)
Tb 0.8646 0.8205 0.7292
Tb 0.9550 0.2721 0.9099
Tb 0.0450 0.7279 0.0901
Tb 0.6814 0.9088 0.3627
Sm 0.7730 0.3631 0.5460
Er 0.5000 0.0000 0.0000
Tb 0.3186 0.0912 0.6373
Tb 0.5901 0.4531 0.1802
Tb 0.1354 0.1795 0.2708
Sm 0.2270 0.6369 0.4540
Tb 0.4099 0.5469 0.8198



[9]
This record from Alexandria describes a relaxed structure of TbSm7Er4. The functional is PBE.

The total energy comes out at -4.392 eV per atom. The energy above the lowest structure with this stoichiometry comes out at 0.2652 eV per atom. For the formation energy from the elements, the calculation gives 0.27 eV/atom. The total magnetic moment is 0.0000 μB per atom. Its space-group type is C2/m.

Lattice parameters (Å, degrees): 5.9561 11.5954 6.7095 83.49 63.65 75.12
Element x y z (fractional)
Sm 0.0604 0.6778 0.2013
Tb 0.0000 0.0000 0.0000
Sm 0.9396 0.3222 0.7987
Er 0.2459 0.3187 0.1894
Sm 0.7891 0.9213 0.5006
Sm 0.3689 0.5018 0.7604
Sm 0.6311 0.4982 0.2396
Sm 0.5000 0.0000 0.0000
Er 0.6396 0.2242 0.4965
Er 0.3604 0.7758 0.5035
Sm 0.2109 0.0787 0.4994
Er 0.7541 0.6813 0.8106



[10]
This record from Alexandria describes a relaxed structure of Tb4SmEr2. The functional is PBE.

The total energy comes out at -4.492 eV per atom. The energy above the lowest structure with this stoichiometry comes out at 0.0974 eV per atom. For the formation energy from the elements, the calculation gives 0.13 eV/atom. The total magnetic moment is 0.0000 μB per atom. Its space-group type is P2_1/m.

Lattice parameters (Å, degrees): 6.1102 6.5497 11.6202 90.00 106.27 90.00
Element x y z (fractional)
Tb 0.3591 0.9936 0.7116
Er 0.3932 0.2500 0.9962
Er 0.2953 0.2500 0.4451
Tb 0.6409 0.4936 0.2884
Tb 0.3591 0.5064 0.7116
Sm 0.1742 0.7500 0.1425
Tb 0.8589 0.2500 0.5714
Tb 0.9927 0.7500 0.8413
Tb 0.0073 0.2500 0.1587
Tb 0.6409 0.0064 0.2884
Tb 0.1411 0.7500 0.4286
Er 0.6068 0.7500 0.0038
Er 0.7047 0.7500 0.5549
Sm 0.8258 0.2500 0.8575



[11]
This record from Alexandria describes a relaxed structure of Tb3Sm5Er4. The functional is PBE.

The total energy comes out at -4.413 eV per atom. For the formation energy from the elements, the calculation gives 0.23 eV/atom. The total magnetic moment is 0.0047 μB per atom. Its space-group type is C2/m.

Lattice parameters (Å, degrees): 5.8898 8.6088 9.6412 106.19 72.21 70.00
Element x y z (fractional)
Er 0.1638 0.0506 0.6219
Sm 0.6239 0.9526 0.7996
Sm 0.2120 0.4621 0.1139
Er 0.8362 0.9494 0.3781
Sm 0.3761 0.0474 0.2004
Er 0.8588 0.2218 0.0605
Er 0.1412 0.7782 0.9395
Sm 0.5000 0.5000 0.5000
Sm 0.7880 0.5379 0.8861
Tb 0.5201 0.6878 0.2719
Tb 0.0000 0.5000 0.5000
Tb 0.4799 0.3122 0.7281



[12]
This record from Alexandria describes a relaxed structure of TbSmEr4. The functional is PBE.

The total energy comes out at -4.317 eV per atom. The energy above the lowest structure with this stoichiometry comes out at 0.0817 eV per atom. For the formation energy from the elements, the calculation gives 0.28 eV/atom. The total magnetic moment is 0.2165 μB per atom. Its space-group type is F-43m.

Lattice parameters (Å, degrees): 6.5489 6.5489 6.5489 60.00 60.00 60.00
Element x y z (fractional)
Tb 0.0000 0.0000 0.0000
Er 0.6253 0.6253 0.1240
Er 0.6253 0.1240 0.6253
Er 0.1240 0.6253 0.6253
Er 0.6253 0.6253 0.6253
Sm 0.2500 0.2500 0.2500